Entry 1:
Here is a relaxed structure of NdEuY from the Alexandria database. Energies are from GGA-PBE.

Computed properties:
Total DFT energy (no corrections): -7.13 eV per atom
SG: I4mm (107)

```
6
Lattice="3.711 0.000 0.000 0.000 3.711 0.000 0.000 0.000 15.650" Properties=species:S:1:pos:R:3 pbc="T T T"
Nd 0.000 0.000 0.000
Nd 1.855 1.855 7.825
Eu 0.000 0.000 5.088
Eu 1.855 1.855 12.913
Y 0.000 0.000 10.210
Y 1.855 1.855 2.385
```

Entry 2:
Here is a relaxed structure of NdEu2Y from the Alexandria database. Energies are from GGA-PBE.

Computed properties:
Total DFT energy (no corrections): -7.84 eV per atom
SG: P4/mmm (123)

```
4
Lattice="3.697 0.000 0.000 0.000 3.697 0.000 0.000 0.000 10.714" Properties=species:S:1:pos:R:3 pbc="T T T"
Nd 0.000 0.000 0.000
Eu 1.849 1.849 2.710
Eu 1.849 1.849 8.004
Y 0.000 0.000 5.357
```

Entry 3:
Here is a relaxed structure of NdEuY2 from the Alexandria database. Energies are from GGA-PBE.

Computed properties:
Total DFT energy (no corrections): -6.91 eV per atom
SG: P4/mmm (123)

```
4
Lattice="5.176 0.000 0.000 0.000 5.176 0.000 0.000 0.000 5.152" Properties=species:S:1:pos:R:3 pbc="T T T"
Nd 0.000 0.000 0.000
Eu 2.588 2.588 0.000
Y 0.000 2.588 2.576
Y 2.588 0.000 2.576
```

Energy above the lowest structure with this stoichiometry per entry: 0.002 0.016 0.032 eV per atom
Calculated formation energy per entry: 0.0425 0.1013 0.0815 eV/atom
Density of states at the Fermi level per entry: 7.49 4.26 6.14 states/eV per cell